# 1
This record from Alexandria describes crystalline YEr2Pt2 at its relaxed geometry. The functional is GGA-PBE.

## Properties
* DOS at the Fermi energy: 3.981 states/eV/f.u.
* calculated formation energy: -1.021 eV per atom
* VASP energy: -6.556 eV per atom
* total moment: 0.00 μB per formula unit
* E above lowest polymorph: 0.32 eV per formula unit

Unit cell a=3.7532 b=4.6359 c=13.8280 alpha=90.00 beta=97.80 gamma=90.00
With the nearest neighbours (Å) after each atom.
Positions (direct):
Er 0.0509 0.2500 0.1018  7 Pt 2.91-3.02
Er 0.2683 0.7500 0.5366  2 Pt 2.78
Er 0.7317 0.2500 0.4634  2 Pt 2.78
Er 0.9491 0.7500 0.8982  7 Pt 2.91-3.02
Pt 0.4673 0.2500 0.9346  1 Y 2.85, 2 Pt 2.93, 6 Er 2.96-3.02
Pt 0.8430 0.7500 0.6859  3 Er 2.78-2.91, 4 Y 3.03
Pt 0.5327 0.7500 0.0654  1 Y 2.85, 2 Pt 2.93, 6 Er 2.96-3.02
Pt 0.1570 0.2500 0.3141  3 Er 2.78-2.91, 4 Y 3.03
Y 0.3634 0.2500 0.7269  5 Pt 2.85-3.03
Y 0.6366 0.7500 0.2731  5 Pt 2.85-3.03

# 2
This record from Alexandria describes crystalline Dy2YCo at its relaxed geometry. The functional is GGA-PBE.

## Properties
* DOS at the Fermi energy: 5.585 states/eV/f.u.
* calculated formation energy: 0.162 eV per atom
* VASP energy: -5.531 eV per atom
* total moment: 0.45 μB per formula unit
* E above lowest polymorph: 1.28 eV per formula unit

Unit cell a=3.5855 b=3.5855 c=10.5015 alpha=80.17 beta=80.17 gamma=60.00
With the nearest neighbours (Å) after each atom.
Positions (direct):
Dy 0.1137 0.1137 0.6588  3 Co 2.64
Dy 0.8863 0.8863 0.3412  3 Co 2.64
Y 0.0000 0.0000 0.0000  2 Dy 3.51, 6 Y 3.59
Co 0.5000 0.5000 0.5000  6 Dy 2.64

# 3
This record from Alexandria describes crystalline PmSmPI at its relaxed geometry. The functional is GGA-PBE.

## Properties
* DOS at the Fermi energy: 1.069 states/eV/f.u.
* VASP energy: -5.469 eV per atom
* total moment: 0.00 μB per formula unit
* formation energy (no corrections): -1361 meV per atom

Unit cell a=4.1347 b=4.1356 c=8.0540 alpha=90.00 beta=104.88 gamma=120.00
With the nearest neighbours (Å) after each atom.
Positions (direct):
Pm 0.0978 0.9469 0.0597  3 P 2.80
Sm 0.5075 0.1517 0.6746  3 P 2.82
I 0.9686 0.3824 0.3661  3 Pm 3.35-3.36, 3 Sm 3.37
P 0.3040 0.5499 0.8693  3 Pm 2.80, 3 Sm 2.82

# 4
This record from Alexandria describes crystalline Mo2OsPt at its relaxed geometry. The functional is GGA-PBE.

## Properties
* DOS at the Fermi energy: 2.225 states/eV/f.u.
* calculated formation energy: -0.166 eV per atom
* VASP energy: -9.899 eV per atom
* total moment: 0.00 μB per formula unit
* E above lowest polymorph: 0.00 eV per formula unit

Unit cell a=4.8144 b=4.8144 c=4.8144 alpha=131.76 beta=131.76 gamma=70.61
With the nearest neighbours (Å) after each atom.
Positions (direct):
Pt 0.2500 0.7500 0.5000  8 Mo 2.78, 4 Os 2.78
Mo 0.5000 0.5000 0.0000  4 Pt 2.78, 4 Os 2.78, 4 Mo 2.78
Mo 0.0000 0.0000 0.0000  4 Pt 2.78, 4 Os 2.78, 4 Mo 2.78
Os 0.7500 0.2500 0.5000  8 Mo 2.78, 4 Pt 2.78

# 5
This record from Alexandria describes crystalline SnPPd5 at its relaxed geometry. The functional is GGA-PBE.

## Properties
* DOS at the Fermi energy: 3.214 states/eV/f.u.
* calculated formation energy: -0.532 eV per atom
* VASP energy: -5.586 eV per atom
* total moment: 0.00 μB per formula unit
* E above lowest polymorph: 0.00 eV per formula unit

Unit cell a=3.9890 b=3.9890 c=7.0330 alpha=90.00 beta=90.00 gamma=90.00
With the nearest neighbours (Å) after each atom.
Positions (direct):
P 0.0000 0.0000 0.5000  8 Pd 2.44
Pd 0.5000 0.0000 0.7008  2 P 2.44
Pd 0.0000 0.0000 0.0000  4 Sn 2.82, 8 Pd 2.90
Pd 0.5000 0.0000 0.2992  2 P 2.44
Pd 0.0000 0.5000 0.2992  2 P 2.44
Pd 0.0000 0.5000 0.7008  2 P 2.44
Sn 0.5000 0.5000 0.0000  12 Pd 2.82-2.90

# 6
This record from Alexandria describes crystalline Cd3GeAu3 at its relaxed geometry. The functional is GGA-PBE.

## Properties
* DOS at the Fermi energy: 2.085 states/eV/f.u.
* calculated formation energy: -0.058 eV per atom
* VASP energy: -2.515 eV per atom
* total moment: 0.00 μB per formula unit

Unit cell a=6.4938 b=6.4938 c=7.2796 alpha=85.86 beta=85.86 gamma=89.65
With the nearest neighbours (Å) after each atom.
Positions (direct):
Ge 0.2224 0.2224 0.1025  4 Au 2.54-2.74
Ge 0.7776 0.7776 0.8975  4 Au 2.54-2.74
Au 0.4999 0.9530 0.7122  1 Ge 2.54, 1 Cd 2.83
Au 0.9530 0.4999 0.7122  1 Ge 2.54, 1 Cd 2.83
Au 0.9256 0.9256 0.1861  2 Ge 2.62-2.74, 3 Au 2.91-2.93, 2 Cd 2.91
Au 0.0744 0.0744 0.8139  2 Ge 2.62-2.74, 3 Au 2.91-2.93, 2 Cd 2.91
Au 0.5001 0.0470 0.2878  1 Ge 2.54, 1 Cd 2.83
Au 0.0470 0.5001 0.2878  1 Ge 2.54, 1 Cd 2.83
Cd 0.6534 0.6534 0.4343  1 Cd 2.89, 5 Au 2.90-3.02
Cd 0.1716 0.8284 0.5000  6 Au 2.86-2.91, 1 Cd 3.14
Cd 0.8284 0.1716 0.5000  6 Au 2.86-2.91, 1 Cd 3.14
Cd 0.6867 0.3133 0.0000  2 Au 2.83, 2 Ge 3.10
Cd 0.3133 0.6867 0.0000  2 Au 2.83, 2 Ge 3.10
Cd 0.3466 0.3466 0.5657  1 Cd 2.89, 5 Au 2.90-3.02

# 7
This record from Alexandria describes crystalline CeTm2Hf3N6 at its relaxed geometry. The functional is GGA-PBE.

## Properties
* DOS at the Fermi energy: 4.547 states/eV/f.u.
* VASP energy: -9.675 eV per atom
* total moment: 0.00 μB per formula unit
* formation energy (no corrections): -1784 meV per atom

Unit cell a=3.2969 b=6.6919 c=7.4580 alpha=103.75 beta=102.77 gamma=90.00
With the nearest neighbours (Å) after each atom.
Positions (direct):
N 0.3363 0.4066 0.6725  3 Hf 2.29-2.31, 3 Tm 2.38-2.40
N 0.3252 0.9245 0.6505  3 Hf 2.22-2.30, 2 Tm 2.41, 1 Ce 2.47
N 0.6637 0.5934 0.3275  3 Hf 2.29-2.31, 3 Tm 2.38-2.40
N 0.9959 0.2712 0.9918  3 Hf 2.24-2.31, 1 Tm 2.43, 2 Ce 2.46
N 0.0041 0.7288 0.0082  3 Hf 2.24-2.31, 1 Tm 2.43, 2 Ce 2.46
N 0.6748 0.0755 0.3495  3 Hf 2.22-2.30, 2 Tm 2.41, 1 Ce 2.47
Hf 0.1678 0.8333 0.3356  6 N 2.22-2.31
Hf 0.5000 0.5000 0.0000  6 N 2.24-2.31
Hf 0.8322 0.1667 0.6644  6 N 2.22-2.31
Tm 0.1677 0.3344 0.3354  6 N 2.38-2.43
Tm 0.8323 0.6656 0.6646  6 N 2.38-2.43
Ce 0.5000 0.0000 0.0000  6 N 2.46-2.47

# 8
This record from Alexandria describes crystalline Tb2Nd5Er at its relaxed geometry. The functional is GGA-PBE.

## Properties
* DOS at the Fermi energy: 13.751 states/eV/f.u.
* calculated formation energy: 0.166 eV per atom
* VASP energy: -4.542 eV per atom
* total moment: 0.00 μB per formula unit
* E above lowest polymorph: 1.19 eV per formula unit

Unit cell a=15.4670 b=15.4670 c=14.2037 alpha=48.92 beta=48.92 gamma=96.50
With the nearest neighbours (Å) after each atom.
Positions (direct):
Tb 0.5000 0.5000 0.5000  6 Nd 3.28-3.61, 2 Tb 3.47
Tb 0.5000 0.0000 0.0000  4 Nd 3.24-3.57, 2 Tb 3.48, 2 Er 3.54
Tb 0.0000 0.5000 0.5000  4 Nd 3.24-3.57, 2 Tb 3.48, 2 Er 3.54
Tb 0.5000 0.5000 0.0000  6 Nd 3.28-3.61, 2 Tb 3.47
Nd 0.0913 0.3455 0.3234  2 Tb 3.24-3.28, 4 Nd 3.40-3.62
Nd 0.6545 0.9087 0.1766  2 Tb 3.24-3.28, 4 Nd 3.40-3.62
Nd 0.4995 0.5005 0.2500  6 Nd 3.47-3.66, 2 Tb 3.55
Nd 0.3455 0.0913 0.8234  2 Tb 3.24-3.28, 4 Nd 3.40-3.62
Nd 0.2467 0.9960 0.4190  6 Nd 3.40-3.67, 2 Tb 3.57-3.61, 2 Er 3.64-3.67
Nd 0.0040 0.7533 0.0810  6 Nd 3.40-3.67, 2 Tb 3.57-3.61, 2 Er 3.64-3.67
Nd 0.5005 0.4995 0.7500  6 Nd 3.47-3.66, 2 Tb 3.55
Nd 0.7533 0.0040 0.5810  6 Nd 3.40-3.67, 2 Tb 3.57-3.61, 2 Er 3.64-3.67
Nd 0.9087 0.6545 0.6766  2 Tb 3.24-3.28, 4 Nd 3.40-3.62
Nd 0.9960 0.2467 0.9190  6 Nd 3.40-3.67, 2 Tb 3.57-3.61, 2 Er 3.64-3.67
Er 0.2485 0.7515 0.7500  2 Er 3.49, 2 Tb 3.54, 8 Nd 3.64-3.88
Er 0.7515 0.2485 0.2500  2 Er 3.49, 2 Tb 3.54, 8 Nd 3.64-3.88

# 9
This record from Alexandria describes crystalline Cs2NaCu2F7 at its relaxed geometry. The functional is GGA-PBE.

## Properties
* DOS at the Fermi energy: 3.091 states/eV/f.u.
* VASP energy: -4.157 eV per atom
* total moment: 0.50 μB per formula unit
* formation energy (no corrections): -2131 meV per atom

Unit cell a=4.1863 b=4.1863 c=11.6039 alpha=79.58 beta=79.58 gamma=90.00
With the nearest neighbours (Å) after each atom.
Positions (direct):
F 0.3237 0.3237 0.3504  1 Cu 2.01
F 0.4179 0.9183 0.1620  2 Cu 2.10
F 0.6763 0.6763 0.6496  1 Cu 2.01
F 0.0817 0.5821 0.8380  2 Cu 2.10
F 0.9183 0.4179 0.1620  2 Cu 2.10
F 0.5000 0.5000 0.0000  2 Cu 1.92
F 0.5821 0.0817 0.8380  2 Cu 2.10
Cu 0.4137 0.4137 0.1713  6 F 1.92-2.10
Cu 0.5863 0.5863 0.8287  6 F 1.92-2.10
Cs 0.1815 0.1815 0.6391  9 F 2.96-3.24
Cs 0.8185 0.8185 0.3609  9 F 2.96-3.24
Na 0.0000 0.0000 0.0000  12 F 2.77-2.96

# 10
This record from Alexandria describes crystalline SrCaMgBi at its relaxed geometry. The functional is GGA-PBE.

## Properties
* DOS at the Fermi energy: 4.444 states/eV/f.u.
* calculated formation energy: -0.413 eV per atom
* VASP energy: -2.703 eV per atom
* total moment: 0.00 μB per formula unit

Unit cell a=5.7535 b=5.7535 c=5.7535 alpha=60.00 beta=60.00 gamma=60.00
With the nearest neighbours (Å) after each atom.
Positions (direct):
Sr 0.0000 0.0000 0.0000  4 Bi 3.52, 4 Mg 3.52
Ca 0.5000 0.5000 0.5000  4 Mg 3.52, 4 Bi 3.52
Bi 0.7500 0.7500 0.7500  4 Ca 3.52, 4 Sr 3.52
Mg 0.2500 0.2500 0.2500  4 Ca 3.52, 4 Sr 3.52

# 11
This record from Alexandria describes crystalline Y4GePSe2 at its relaxed geometry. The functional is GGA-PBE.

## Properties
* DOS at the Fermi energy: 1.362 states/eV/f.u.
* VASP energy: -6.972 eV per atom
* total moment: 0.00 μB per formula unit
* formation energy (no corrections): -1615 meV per atom

Unit cell a=4.0909 b=7.1296 c=7.0794 alpha=70.70 beta=90.00 gamma=90.00
With the nearest neighbours (Å) after each atom.
Positions (direct):
Se 0.5000 0.0000 0.5000  6 Y 2.97-2.98
Se 0.0000 0.0000 0.0000  6 Y 2.95-2.96
Y 0.0000 0.7317 0.7577  2 P 2.83, 1 Ge 2.84, 3 Se 2.96-2.98
Y 0.5000 0.7351 0.2534  1 P 2.83, 2 Ge 2.85, 3 Se 2.95-2.97
Y 0.5000 0.2649 0.7466  1 P 2.83, 2 Ge 2.85, 3 Se 2.95-2.97
Y 0.0000 0.2683 0.2423  2 P 2.83, 1 Ge 2.84, 3 Se 2.96-2.98
Ge 0.0000 0.5000 0.5000  6 Y 2.84-2.85
P 0.5000 0.5000 0.0000  6 Y 2.83

# 12
This record from Alexandria describes crystalline LaYTlAu at its relaxed geometry. The functional is GGA-PBE.

## Properties
* DOS at the Fermi energy: 3.740 states/eV/f.u.
* calculated formation energy: -0.558 eV per atom
* VASP energy: -4.817 eV per atom
* total moment: 0.01 μB per formula unit

Unit cell a=5.3879 b=5.3879 c=5.3879 alpha=60.00 beta=60.00 gamma=60.00
With the nearest neighbours (Å) after each atom.
Positions (direct):
Au 0.0000 0.0000 0.0000  4 Y 3.30, 4 La 3.30
Y 0.7500 0.7500 0.7500  4 Au 3.30, 4 Tl 3.30
Tl 0.5000 0.5000 0.5000  4 La 3.30, 4 Y 3.30
La 0.2500 0.2500 0.2500  4 Tl 3.30, 4 Au 3.30